A plane-wave DFT calculation with GGA-PBE was carried out for an optimized crystal structure of NdY2Zn2Si4Au2.

Unit cell a=4.1764 b=4.1886 c=24.6827 alpha=90.00 beta=90.00 gamma=90.00
With the nearest neighbours (Å) after each atom.
Space group Immm (No. 71)
One atom of each set of equivalent atoms:
Nd 0.0000 0.0000 0.0000 [2 per cell]  4 Zn 3.13, 8 Si 3.19
Y 0.0000 0.5000 0.1447 [4 per cell]  6 Si 3.15-3.17, 4 Zn 3.21, 4 Au 3.32-3.35
Zn 0.0000 0.5000 0.4054 [4 per cell]  3 Si 2.33-2.39
Si 0.0000 0.0000 0.4520 [4 per cell]  1 Si 2.37, 2 Zn 2.39
Si 0.0000 0.5000 0.3109 [4 per cell]  1 Zn 2.33, 4 Au 2.56-2.59
Au 0.0000 0.0000 0.2509 [4 per cell]  4 Si 2.56-2.59



A plane-wave DFT calculation with GGA-PBE was carried out for an optimized crystal structure of Nd2SmSn4Au4.

Unit cell a=4.6819 b=7.3005 c=15.6305 alpha=90.00 beta=90.00 gamma=90.00
With the nearest neighbours (Å) after each atom.
Space group Immm (No. 71)
One atom of each set of equivalent atoms:
Nd 0.0000 0.0000 0.1295 [4 per cell]  6 Au 3.26-3.48, 6 Sn 3.38-3.42
Sm 0.0000 0.5000 0.0000 [2 per cell]  6 Sn 3.22-3.35
Sn 0.0000 0.3023 0.5000 [4 per cell]  2 Au 2.74, 1 Sn 2.89
Sn 0.0000 0.5000 0.2141 [4 per cell]  6 Au 2.85-2.86
Au 0.0000 0.2000 0.3313 [8 per cell]  4 Sn 2.74-2.86, 1 Au 2.92



A plane-wave DFT calculation with GGA-PBE was carried out for an optimized crystal structure of NdSm2Sn4Au4.

Unit cell a=4.6412 b=7.3289 c=15.5937 alpha=90.00 beta=90.00 gamma=90.00
With the nearest neighbours (Å) after each atom.
Space group Immm (No. 71)
One atom of each set of equivalent atoms:
Nd 0.0000 0.0000 0.0000 [2 per cell]  6 Sn 3.22-3.37
Sm 0.0000 0.5000 0.1292 [4 per cell]  6 Au 3.26-3.48, 6 Sn 3.35-3.39
Sn 0.0000 0.0000 0.2159 [4 per cell]  6 Au 2.84-2.85
Sn 0.0000 0.1949 0.5000 [4 per cell]  2 Au 2.73, 1 Sn 2.86
Au 0.0000 0.3004 0.3319 [8 per cell]  4 Sn 2.73-2.85, 1 Au 2.93



A plane-wave DFT calculation with GGA-PBE was carried out for an optimized crystal structure of NdSn4Au3.

Unit cell a=5.9879 b=5.9879 c=11.6159 alpha=90.00 beta=90.00 gamma=90.00
With the nearest neighbours (Å) after each atom.
Space group I4/mmm (No. 139)
One atom of each set of equivalent atoms:
Nd 0.0000 0.0000 0.0000 [2 per cell]  6 Sn 2.99-3.15
Sn 0.0000 0.0000 0.2714 [4 per cell]  1 Au 2.66
Sn 0.0000 0.5000 0.0000 [4 per cell]  4 Au 2.90-2.99, 2 Nd 2.99
Au 0.0000 0.0000 0.5000 [2 per cell]  2 Sn 2.66
Au 0.0000 0.5000 0.2500 [4 per cell]  6 Sn 2.90-3.00



A plane-wave DFT calculation with GGA-PBE was carried out for an optimized crystal structure of NdSnAu.

Unit cell a=4.7738 b=4.7738 c=7.6412 alpha=90.00 beta=90.00 gamma=120.00
With the nearest neighbours (Å) after each atom.
Space group P6_3mc (No. 186)
One atom of each set of equivalent atoms:
Nd 0.0000 0.0000 0.0000 [2 per cell]  3 Au 3.09, 3 Sn 3.25
Sn 0.3333 0.6667 0.2249 [2 per cell]  4 Au 2.85-3.11
Au 0.3333 0.6667 0.8186 [2 per cell]  4 Sn 2.85-3.11, 3 Nd 3.09



A plane-wave DFT calculation with GGA-PBE was carried out for an optimized crystal structure of TbNd2Sn4Au4.

Unit cell a=4.6905 b=7.2588 c=15.5884 alpha=90.00 beta=90.00 gamma=90.00
With the nearest neighbours (Å) after each atom.
Space group Immm (No. 71)
One atom of each set of equivalent atoms:
Tb 0.0000 0.0000 0.0000 [2 per cell]  6 Sn 3.20-3.30
Nd 0.0000 0.5000 0.1295 [4 per cell]  6 Au 3.25-3.45, 6 Sn 3.41-3.42
Sn 0.0000 0.0000 0.2120 [4 per cell]  6 Au 2.84
Sn 0.0000 0.2003 0.5000 [4 per cell]  2 Au 2.74, 1 Sn 2.91
Au 0.0000 0.2982 0.3302 [8 per cell]  4 Sn 2.74-2.84, 1 Au 2.93



The evaluated calculated total energy for the records listed, in turn: -110.3 -102.0 -101.9 -63.0 -29.1 -101.5 eV/cell.